VASP calculation (PBE) on a geometry-optimized Tb2YTl structure.

- Space group: R3m, No. 160
- Energy relative to the elements: -0.11 eV per atom
- Magnetization: 0.62 μB per cell
- D(E_F): 5.4 states/eV per cell

Structure (POSCAR):
```
Tb2YTl
1.0
-3.0476 -0.9464 1.7939
-1.8298 -3.0203 -0.9651
4.2378 -7.0872 7.1980
Tb Y Tl
2 1 1
Cartesian
-0.2567 -2.6690 1.8929 Tb
2.8660 -5.7386 5.5787 Tb
-0.3187 -5.5274 4.0142 Y
-3.2500 -2.6460 0.5543 Tl
```